1.
The following is a DFT calculation (PBE) of a relaxed structure of SmY6Tm.

Cell and atoms, written as extended XYZ:
```
8
Lattice="1.897 3.938 5.200 2.494 -5.228 3.101 6.710 1.731 0.741" Properties=species:S:1:pos:R:3 pbc="T T T"
Sm 0.000 0.000 0.000
Y 8.179 2.187 3.871
Tm 1.247 -2.614 1.550
Y 2.922 -1.745 5.170
Y 5.759 3.242 5.827
Y 4.685 1.101 3.425
Y 5.342 -2.800 3.215
Y 6.416 -0.660 5.617
```

* DOS(E_F): 1.859 states/eV/atom
* VASP energy: -5.793 eV per atom
* ΔE to the lowest computed polymorph: 179.8 meV/atom
* calculated volume: 261.99 Å³ per cell
* calculated formation energy: 204 meV/atom

2.
The following is a DFT calculation (PBE) of a relaxed structure of Sm6Y3Tm2.

Cell and atoms, written as extended XYZ:
```
11
Lattice="-0.294 0.156 4.759 -4.094 -2.442 -0.173 10.677 -13.150 -1.300" Properties=species:S:1:pos:R:3 pbc="T T T"
Tm 7.714 -12.996 0.903
Sm 4.415 -12.110 0.670
Sm 1.109 -6.709 2.679
Y 3.411 -5.748 0.399
Sm 5.180 -8.727 0.606
Sm 1.873 -3.327 2.616
Sm 6.315 -10.811 3.136
Y 2.877 -9.688 2.886
Tm -1.425 -2.440 2.383
Sm -0.026 -4.625 0.150
Y 0.000 0.000 0.000
```

* DOS(E_F): 1.412 states/eV/atom
* VASP energy: -4.861 eV per atom
* ΔE to the lowest computed polymorph: 273.0 meV/atom
* calculated volume: 378.90 Å³ per cell
* calculated formation energy: 289 meV/atom